1.
VASP calculation (PBE) on Dy3PuSc3 after structural relaxation.

The calculation puts the total energy at -274.58 eV per cell. The density of states at the Fermi level comes out at 98.034 states/eV/cell. Its crystal system is trigonal.

The structure belongs to space group R-3 (No. 148, hexagonal axes); the cell edges are 5.8977, 5.8977 and 40.4606 Å and the angles 90.00°, 90.00° and 120.00°. The inequivalent atoms are Dy at (0.9999, 0.3323, 0.4315), Pu at (0.0000, 0.0000, 0.1667) and Sc at (0.0002, 0.3328, 0.6355).

***

2.
VASP calculation (PBE) on Dy12PuSc5 after structural relaxation.

The calculation puts the total energy at -196.05 eV per cell. The density of states at the Fermi level comes out at 64.106 states/eV/cell. Its crystal system is monoclinic.

The structure belongs to space group C2/m (No. 12); the cell edges are 5.991, 10.377 and 16.789 Å and the angles 90.00°, 96.79° and 90.00°. The inequivalent atoms are Dy at (0.113, 0.167, 0.336), Dy at (0.114, 0.500, 0.338), Dy at (0.218, 0.336, 0.162), Dy at (0.225, 0.000, 0.162), Pu at (0.000, 0.500, 0.000), Sc at (0.000, 0.000, 0.500), Sc at (0.000, 0.167, 0.000) and Sc at (0.000, 0.334, 0.500).